Entry 1:
TaCr3Ga | GGA-PBE | relaxed

Results
* crystal system: cubic
* relative energy among the computed polymorphs: 0.00 eV/f.u.

abc: 4.401 4.401 4.401
angles: 90.00 90.00 90.00
Space group Pm-3m (No. 221)
Asymmetric unit:
Ta: 0.000 0.000 0.000 (multiplicity 1)
Cr: 0.000 0.500 0.500 (multiplicity 3)
Ga: 0.500 0.500 0.500 (multiplicity 1)

=====

Entry 2:
TaTiCrGa | GGA-PBE | relaxed

Results
* crystal system: cubic
* E: -131.43 eV for the cell shown

abc: 6.253 6.253 6.253
angles: 90.00 90.00 90.00
Space group F-43m (No. 216)
Asymmetric unit:
Ta: 0.000 0.000 0.000 (multiplicity 4)
Ti: 0.000 0.000 0.500 (multiplicity 4)
Cr: 0.250 0.250 0.750 (multiplicity 4)
Ga: 0.250 0.250 0.250 (multiplicity 4)

=====

Entry 3:
TaTlCr2Ga | GGA-PBE | relaxed

Results
* crystal system: tetragonal
* E: -29.19 eV for the cell shown

abc: 4.568 4.568 4.936
angles: 90.00 90.00 90.00
Space group P4/mmm (No. 123)
Asymmetric unit:
Ta: 0.000 0.000 0.000 (multiplicity 1)
Tl: 0.500 0.500 0.000 (multiplicity 1)
Cr: 0.000 0.500 0.500 (multiplicity 2)
Ga: 0.500 0.500 0.500 (multiplicity 1)

=====

Entry 4:
YTaCr2Ga | GGA-PBE | relaxed

Results
* crystal system: tetragonal
* E: -29.01 eV for the cell shown

abc: 4.498 4.498 5.085
angles: 90.00 90.00 90.00
Space group P4/mmm (No. 123)
Asymmetric unit:
Y: 0.000 0.000 0.000 (multiplicity 1)
Ta: 0.000 0.000 0.500 (multiplicity 1)
Cr: 0.000 0.500 0.000 (multiplicity 2)
Ga: 0.500 0.500 0.500 (multiplicity 1)

=====

Entry 5:
TbCrGa6 | GGA-PBE | relaxed

Results
* crystal system: trigonal
* E: -99.37 eV for the cell shown

abc: 9.2817 9.2817 6.3650
angles: 90.00 90.00 120.00
Space group R-3m (No. 166, hexagonal axes)
Asymmetric unit:
Tb: 0.0000 0.0000 0.0000 (multiplicity 3)
Cr: 0.0000 0.0000 0.5000 (multiplicity 3)
Ga: 0.0458 0.5229 0.3032 (multiplicity 18)

=====

Entry 6:
TbCrGa | GGA-PBE | relaxed

Results
* crystal system: trigonal
* E: -105.79 eV for the cell shown

abc: 4.0526 4.0526 26.3361
angles: 90.00 90.00 120.00
Space group R-3m (No. 166, hexagonal axes)
Asymmetric unit:
Tb: 0.0000 0.0000 0.2195 (multiplicity 6)
Cr: 0.0000 0.0000 0.3395 (multiplicity 6)
Ga: 0.0000 0.0000 0.0487 (multiplicity 6)

=====

Number 1: total magnetization 5.6 μB per cell. Number 2: total magnetization 0.0 μB per cell. Number 3: total magnetization 4.8 μB per cell. Number 4: total magnetization 0.0 μB per cell. Number 5: total magnetization 5.7 μB per cell. Number 6: total magnetization 0.0 μB per cell.